! SmCo2GeO6 | Alexandria | PBE with a Hubbard U | optimized geometry; values from VASP
&SYSTEM
  ibrav = 0, nat = 10, ntyp = 4
/
ATOMIC_SPECIES
Sm 150.36 Sm.upf
Co 58.93 Co.upf
Ge 72.64 Ge.upf
O 16.00 O.upf
CELL_PARAMETERS angstrom
5.247 0.000 0.000
-2.620 4.566 0.000
-0.004 -3.035 4.557
ATOMIC_POSITIONS angstrom
Sm 0.000 0.000 0.000
Co -0.011 -0.005 3.823
Co 2.611 1.510 1.543
Ge -0.007 3.038 2.000
O -1.396 2.782 0.597
O -0.880 1.507 2.790
O 0.908 1.958 0.603
O 1.727 -0.003 2.783
O 3.100 -0.202 0.588
O 4.380 -1.514 2.785
! E_tot	-6.643	eV per atom